No. 1
CdCu2SnTe4 | SCAN | single point on PBEsol structure

Unit cell a=6.1951 b=6.1951 c=12.2626 alpha=90.00 beta=90.00 gamma=90.00
Space group I-42m (No. 121)
Asymmetric unit:
Cd: 0.0000 0.0000 0.0000
Cu: 0.0000 0.5000 0.2500
Sn: 0.0000 0.0000 0.5000
Te: 0.2492 0.2492 0.3567

Computed properties:
The density of states at the Fermi level comes out at 0.82 states/eV/cell. Its formation energy without anion corrections is -0.2147 eV/atom. Its crystal system is tetragonal.



No. 2
InBiB3 | SCAN | single point on PBEsol structure

Unit cell a=4.4901 b=4.4901 c=4.4901 alpha=90.00 beta=90.00 gamma=90.00
Space group Pm-3m (No. 221)
Asymmetric unit:
In: 0.0000 0.0000 0.0000
Bi: 0.5000 0.5000 0.5000
B: 0.0000 0.0000 0.5000

Computed properties:
The density of states at the Fermi level comes out at 2.72 states/eV/cell. The calculation puts the formation enthalpy at 0 K at 2.138 eV per atom. Its crystal system is cubic.



No. 3
LuAsSe | SCAN | single point on PBEsol structure

Unit cell a=7.0301 b=3.7756 c=9.3020 alpha=90.00 beta=90.00 gamma=90.00
Space group Pnma (No. 62)
Asymmetric unit:
Lu: 0.2190 0.2500 0.1606
As: 0.1059 0.2500 0.4587
Se: 0.0838 0.2500 0.8475

Computed properties:
Its formation energy without anion corrections is -1.4915 eV/atom. Its crystal system is orthorhombic.



No. 4
BaCaPb2 | SCAN | single point on PBEsol structure

Unit cell a=3.6511 b=3.6511 c=9.6199 alpha=90.00 beta=90.00 gamma=90.00
Space group P4/mmm (No. 123)
Asymmetric unit:
Ba: 0.0000 0.0000 0.0000
Ca: 0.0000 0.0000 0.5000
Pb: 0.5000 0.5000 0.2675

Computed properties:
The density of states at the Fermi level comes out at 1.17 states/eV/cell. The calculation puts the formation enthalpy at 0 K at -0.706 eV per atom. Its crystal system is tetragonal.



No. 5
BaNaSbTe2 | SCAN | single point on PBEsol structure

Unit cell a=5.6188 b=5.6188 c=5.2912 alpha=90.00 beta=90.00 gamma=90.00
Space group P4/mmm (No. 123)
Asymmetric unit:
Ba: 0.0000 0.0000 0.0000
Na: 0.5000 0.5000 0.5000
Sb: 0.5000 0.5000 0.0000
Te: 0.0000 0.5000 0.5000

Computed properties:
The density of states at the Fermi level comes out at 3.37 states/eV/cell. Its formation energy without anion corrections is -0.4138 eV/atom. Its crystal system is tetragonal.



No. 6
ScSiAs3 | SCAN | single point on PBEsol structure

Unit cell a=4.7049 b=4.7049 c=4.7049 alpha=90.00 beta=90.00 gamma=90.00
Space group Pm-3m (No. 221)
Asymmetric unit:
Sc: 0.0000 0.0000 0.0000
Si: 0.5000 0.5000 0.5000
As: 0.0000 0.5000 0.5000

Computed properties:
The density of states at the Fermi level comes out at 3.47 states/eV/cell. Its formation energy without anion corrections is 0.2612 eV/atom. Its crystal system is cubic.



No. 7
CsIrI2N | SCAN | single point on PBEsol structure

Unit cell a=6.6547 b=6.6547 c=4.5246 alpha=90.00 beta=90.00 gamma=90.00
Space group P4/mmm (No. 123)
Asymmetric unit:
Cs: 0.0000 0.0000 0.0000
Ir: 0.5000 0.5000 0.5000
I: 0.0000 0.5000 0.0000
N: 0.0000 0.0000 0.5000

Computed properties:
The density of states at the Fermi level comes out at 3.73 states/eV/cell. Its formation energy without anion corrections is 2.1659 eV/atom. Its crystal system is tetragonal.



No. 8
NaLiZrC2 | SCAN | single point on PBEsol structure

Unit cell a=3.9126 b=3.9126 c=3.9990 alpha=90.00 beta=90.00 gamma=90.00
Space group P4/mmm (No. 123)
Asymmetric unit:
Na: 0.0000 0.0000 0.0000
Li: 0.5000 0.5000 0.5000
Zr: 0.5000 0.5000 0.0000
C: 0.0000 0.5000 0.5000

Computed properties:
The density of states at the Fermi level comes out at 1.70 states/eV/cell. The calculation puts the formation enthalpy at 0 K at 1.823 eV per atom. Its crystal system is tetragonal.



No. 9
Si2AgH | SCAN | single point on PBEsol structure

Unit cell a=4.4311 b=4.4311 c=11.7997 alpha=90.00 beta=90.00 gamma=90.00
Space group I-42d (No. 122)
Asymmetric unit:
Si: 0.1132 0.2500 0.1250
Ag: 0.0000 0.0000 0.5000
H: 0.0000 0.0000 0.0000

Computed properties:
The density of states at the Fermi level comes out at 5.88 states/eV/cell. Its calculated total energy is -13.0463 eV per atom. Its crystal system is tetragonal.



No. 10
CoAsBr2 | SCAN | single point on PBEsol structure

Unit cell a=3.5895 b=3.3946 c=7.1750 alpha=90.00 beta=103.36 gamma=90.00
Space group Pm (No. 6)
Asymmetric unit:
Co: 0.0000 0.0000 0.0000
As: 0.6238 0.5000 0.0774
Br: 0.2780 0.0000 0.3320
Br: 0.9521 0.5000 0.7463

Computed properties:
The density of states at the Fermi level comes out at 1.94 states/eV/cell. Its formation energy without anion corrections is 0.0627 eV/atom. Its crystal system is monoclinic.



No. 11
Zn2C3 | SCAN | single point on PBEsol structure

Unit cell a=2.4924 b=2.4924 c=33.6651 alpha=90.00 beta=90.00 gamma=120.00
Space group R-3m (No. 166, hexagonal axes)
Asymmetric unit:
Zn: 0.0000 0.0000 0.1136
C: 0.0000 0.0000 0.3333
C: 0.0000 0.0000 0.5000

Computed properties:
The density of states at the Fermi level comes out at 5.12 states/eV/cell. The calculation puts the formation enthalpy at 0 K at 0.928 eV per atom. Its crystal system is trigonal.



No. 12
CrFe2Mo | SCAN | single point on PBEsol structure

Unit cell a=5.7595 b=5.7595 c=5.7595 alpha=90.00 beta=90.00 gamma=90.00
Space group Fm-3m (No. 225)
Asymmetric unit:
Cr: 0.0000 0.0000 0.0000
Fe: 0.2500 0.2500 0.2500
Mo: 0.0000 0.0000 0.5000

Computed properties:
The density of states at the Fermi level comes out at 13.13 states/eV/cell. The calculation puts the formation enthalpy at 0 K at 0.221 eV per atom. Its crystal system is cubic.